Entry 1:
Compound: Os5W
Source: Alexandria via LeMat-Bulk
Functional: PBE
Structure: optimized geometry Values from VASP.

Computed properties:
Calculated total energy   -11.39 eV per atom
ΔH_f (0 K)   0.1241 eV per atom
E above lowest polymorph   0.154 eV per atom
Fermi-level density of states   0.83 states/eV per atom

Cell and atoms, written as Quantum ESPRESSO input:
```
&SYSTEM
  ibrav = 0, nat = 6, ntyp = 2
/
ATOMIC_SPECIES
Os 190.23 Os.upf
W 183.84 W.upf
ATOMIC_POSITIONS angstrom
Os 0.0000 0.0000 0.0000
Os 0.0000 0.0000 3.8248
Os 0.0000 0.0000 7.8550
Os 1.3719 1.3719 1.9288
Os 1.3719 1.3719 9.7511
W 1.3719 1.3719 5.8399
CELL_PARAMETERS angstrom
2.7439 0.0000 0.0000
0.0000 2.7439 0.0000
0.0000 0.0000 11.6799
```

Entry 2:
Compound: ZrBeNbO2
Source: Alexandria via LeMat-Bulk
Functional: PBE
Structure: optimized geometry Values from VASP.

Computed properties:
Calculated total energy   -6.96 eV per atom
E_form (uncorrected)   -0.505 eV per atom
Fermi-level density of states   0.70 states/eV per atom

Cell and atoms, written as Quantum ESPRESSO input:
```
&SYSTEM
  ibrav = 0, nat = 5, ntyp = 4
/
ATOMIC_SPECIES
Zr 91.22 Zr.upf
Be 9.01 Be.upf
Nb 92.91 Nb.upf
O 16.00 O.upf
ATOMIC_POSITIONS angstrom
Zr 0.0000 0.0000 0.0000
Be 1.9483 1.9483 0.0000
Nb 0.0000 0.0000 3.1650
O 0.0000 1.9483 3.1650
O 1.9483 0.0000 3.1650
CELL_PARAMETERS angstrom
3.8966 0.0000 0.0000
0.0000 3.8966 0.0000
0.0000 0.0000 6.3300
```